A geometry-optimized Tb2PmPr2Sm2 structure. Source: Alexandria via LeMat-Bulk, functional GGA-PBE.

a b c (Å): 5.140 6.294 8.148
angles (deg): 97.36 90.00 114.10
Positions (direct):
Tb1 0.571 0.142 0.715
Tb2 0.429 0.858 0.285
Pm1 0.000 0.000 0.000
Sm1 0.715 0.430 0.141
Sm2 0.285 0.570 0.859
Pr1 0.142 0.285 0.428
Pr2 0.858 0.715 0.572

E_form in kcal/mol of atoms: 0.34

=====

A geometry-optimized TbPm2Pr2Sm2 structure. Source: Alexandria via LeMat-Bulk, functional GGA-PBE.

a b c (Å): 5.763 5.763 9.048
angles (deg): 71.43 71.43 60.00
Positions (direct):
Tb1 0.000 0.000 0.000
Pm1 0.412 0.412 0.763
Pm2 0.588 0.588 0.237
Sm1 0.727 0.727 0.819
Sm2 0.273 0.273 0.181
Pr1 0.865 0.865 0.405
Pr2 0.135 0.135 0.595

E_form in kcal/mol of atoms: 2.89

=====

A geometry-optimized TbPm2PrSm4 structure. Source: Alexandria via LeMat-Bulk, functional GGA-PBE.

a b c (Å): 9.610 9.610 11.949
angles (deg): 128.37 128.37 88.26
Positions (direct):
Sm1 0.254 0.748 0.502
Sm2 0.752 0.246 0.998
Sm3 0.215 0.214 0.462
Sm4 0.785 0.786 0.538
Sm5 0.746 0.252 0.498
Sm6 0.248 0.754 0.002
Sm7 0.714 0.715 0.962
Sm8 0.286 0.285 0.038
Pr1 0.000 0.500 0.000
Pr2 0.000 0.500 0.500
Tb1 0.500 0.500 0.500
Tb2 0.000 0.000 0.000
Pm1 0.500 0.000 0.500
Pm2 0.500 0.000 0.000
Pm3 0.500 0.500 0.000
Pm4 0.000 0.000 0.500

E_form in kcal/mol of atoms: 8.94

=====

A geometry-optimized Tb2PmPr4Sm2 structure. Source: Alexandria via LeMat-Bulk, functional GGA-PBE.

a b c (Å): 5.173 8.177 8.158
angles (deg): 107.51 90.00 108.44
Positions (direct):
Pr1 0.223 0.445 0.331
Pr2 0.445 0.891 0.669
Pr3 0.777 0.555 0.669
Pr4 0.555 0.109 0.331
Pm1 0.000 0.000 0.000
Tb1 0.332 0.665 0.001
Tb2 0.668 0.335 0.999
Sm1 0.111 0.223 0.669
Sm2 0.889 0.777 0.331

E_form in kcal/mol of atoms: 0.36

=====

A geometry-optimized Tb2Pm4PrSm structure. Source: Alexandria via LeMat-Bulk, functional GGA-PBE.

a b c (Å): 3.639 6.280 12.069
angles (deg): 79.82 90.00 90.00
Positions (direct):
Pm1 0.000 0.752 0.748
Pm2 0.500 0.750 0.251
Pm3 0.500 0.250 0.749
Pm4 0.000 0.248 0.252
Tb1 0.000 0.000 0.000
Tb2 0.500 0.000 0.500
Pr1 0.500 0.500 0.000
Sm1 0.000 0.500 0.500

E_form in kcal/mol of atoms: 0.37

=====

A geometry-optimized Tb4Pm2PrSm2 structure. Source: Alexandria via LeMat-Bulk, functional GGA-PBE.

a b c (Å): 3.645 9.631 9.685
angles (deg): 115.21 90.00 100.91
Positions (direct):
Tb1 0.186 0.371 0.336
Tb2 0.519 0.039 0.335
Tb3 0.481 0.961 0.665
Tb4 0.814 0.629 0.664
Sm1 0.852 0.705 0.335
Sm2 0.148 0.295 0.665
Pm1 0.667 0.334 0.001
Pm2 0.333 0.666 0.999
Pr1 0.000 0.000 0.000

E_form in kcal/mol of atoms: 0.02

=====

A geometry-optimized TbPm6Pr3Sm2 structure. Source: Alexandria via LeMat-Bulk, functional GGA-PBE.

a b c (Å): 6.337 6.337 12.126
angles (deg): 95.02 95.02 120.00
Positions (direct):
Tb1 0.000 0.000 0.000
Pm1 0.251 0.251 0.753
Pm2 0.082 0.415 0.247
Pm3 0.585 0.918 0.753
Pm4 0.415 0.082 0.247
Pm5 0.749 0.749 0.247
Pm6 0.918 0.585 0.753
Sm1 0.667 0.333 0.000
Sm2 0.333 0.667 0.000
Pr1 0.833 0.167 0.500
Pr2 0.167 0.833 0.500
Pr3 0.500 0.500 0.500

E_form in kcal/mol of atoms: 0.33

=====

A geometry-optimized Tb2PmPrSm structure. Source: Alexandria via LeMat-Bulk, functional GGA-PBE.

a b c (Å): 7.199 8.504 7.238
angles (deg): 125.98 90.00 90.00
Positions (direct):
Sm1 0.250 0.000 0.999
Sm2 0.750 0.000 0.001
Pr1 0.750 0.730 0.460
Pr2 0.250 0.270 0.540
Tb1 0.500 0.312 0.000
Tb2 0.000 0.312 0.000
Tb3 0.000 0.688 0.000
Tb4 0.500 0.688 0.000
Pm1 0.250 0.727 0.455
Pm2 0.750 0.273 0.545

E_form in kcal/mol of atoms: 8.30

=====

A geometry-optimized Pm3Pr3SmTe8 structure. Source: Alexandria via LeMat-Bulk, functional GGA-PBE.

a b c (Å): 8.950 8.950 8.969
angles (deg): 119.93 90.00 120.00
Positions (direct):
Te1 0.743 0.997 0.750
Te2 0.257 0.003 0.250
Te3 0.748 0.497 0.745
Te4 0.253 0.507 0.750
Te5 0.747 0.003 0.250
Te6 0.252 0.503 0.255
Te7 0.253 0.997 0.750
Te8 0.747 0.493 0.250
Pr1 0.000 0.500 0.000
Pr2 0.000 0.000 0.000
Pr3 0.500 0.500 0.000
Pm1 0.000 0.500 0.500
Pm2 0.500 0.500 0.500
Pm3 0.500 0.000 0.500
Sm1 0.000 0.000 0.500

Raw formation energy in eV per atom: -1.46

=====

A geometry-optimized PmPr2SmTe5 structure. Source: Alexandria via LeMat-Bulk, functional GGA-PBE.

a b c (Å): 5.636 5.636 11.842
angles (deg): 90.00 90.00 90.00
Site moments in Bohr magnetons follow the coordinates.
Positions (direct):
Te1 0.000 0.500 0.500  0.00
Te2 0.500 0.000 0.500  0.00
Te3 0.500 0.500 0.000  0.02
Te4 0.000 0.000 0.753  0.00
Te5 0.000 0.000 0.247  0.00
Pr1 0.500 0.500 0.343  0.17
Pr2 0.500 0.500 0.657  0.17
Sm1 0.000 0.000 0.500  0.02
Pm1 0.000 0.000 0.000  0.01

Raw formation energy in eV per atom: -0.80

=====

A geometry-optimized PmPr4Sm3Te8 structure. Source: Alexandria via LeMat-Bulk, functional GGA-PBE.

a b c (Å): 8.971 8.998 8.969
angles (deg): 119.88 120.01 90.00
Positions (direct):
Pr1 0.000 0.000 0.000
Pr2 0.500 0.000 0.000
Pr3 0.000 0.000 0.500
Pr4 0.500 0.000 0.500
Sm1 0.000 0.500 0.500
Sm2 0.500 0.500 0.500
Sm3 0.500 0.500 0.000
Te1 0.752 0.257 0.005
Te2 0.253 0.257 0.005
Te3 0.248 0.743 0.497
Te4 0.248 0.743 0.995
Te5 0.748 0.743 0.495
Te6 0.252 0.257 0.505
Te7 0.752 0.257 0.503
Te8 0.747 0.743 0.995
Pm1 0.000 0.500 0.000

Raw formation energy in eV per atom: -1.41

=====

A geometry-optimized Pm3PrSm4Te8 structure. Source: Alexandria via LeMat-Bulk, functional GGA-PBE.

a b c (Å): 8.940 8.917 8.934
angles (deg): 120.01 120.02 90.00
Positions (direct):
Pr1 0.000 0.500 0.000
Te1 0.748 0.246 0.495
Te2 0.751 0.752 0.501
Te3 0.249 0.248 0.499
Te4 0.252 0.754 0.001
Te5 0.749 0.754 0.001
Te6 0.251 0.246 0.999
Te7 0.748 0.246 0.999
Te8 0.252 0.754 0.505
Pm1 0.000 0.500 0.500
Pm2 0.500 0.500 0.500
Pm3 0.500 0.500 0.000
Sm1 0.500 0.000 0.500
Sm2 0.000 0.000 0.000
Sm3 0.500 0.000 0.000
Sm4 0.000 0.000 0.500

Raw formation energy in eV per atom: -1.39

=====

A geometry-optimized Pm3Pr4SmTe8 structure. Source: Alexandria via LeMat-Bulk, functional GGA-PBE.

a b c (Å): 8.982 9.007 8.979
angles (deg): 119.88 120.01 90.00
Positions (direct):
Te1 0.248 0.744 0.996
Te2 0.752 0.256 0.004
Te3 0.248 0.744 0.495
Te4 0.252 0.255 0.504
Te5 0.251 0.256 0.004
Te6 0.748 0.745 0.496
Te7 0.749 0.744 0.996
Te8 0.752 0.256 0.505
Pr1 0.500 0.000 0.000
Pr2 0.500 0.000 0.500
Pr3 0.000 0.000 0.500
Pr4 0.000 0.000 0.000
Pm1 0.500 0.500 0.000
Pm2 0.500 0.500 0.500
Pm3 0.000 0.500 0.500
Sm1 0.000 0.500 0.000

Raw formation energy in eV per atom: -1.42

=====

A geometry-optimized Pm2Pr3SmTe6 structure. Source: Alexandria via LeMat-Bulk, functional GGA-PBE.

a b c (Å): 4.472 9.043 10.046
angles (deg): 102.99 102.86 90.00
Positions (direct):
Pr1 0.833 0.167 0.666
Pr2 0.500 0.500 0.000
Pr3 0.167 0.833 0.334
Te1 0.665 0.086 0.330
Te2 0.999 0.754 0.998
Te3 0.001 0.246 0.002
Te4 0.332 0.420 0.665
Te5 0.668 0.580 0.335
Te6 0.335 0.914 0.670
Sm1 0.500 0.000 0.000
Pm1 0.833 0.666 0.666
Pm2 0.167 0.334 0.334

Raw formation energy in eV per atom: -1.42

=====

A geometry-optimized Pm3PrSm2Te6 structure. Source: Alexandria via LeMat-Bulk, functional GGA-PBE.

a b c (Å): 4.448 8.988 9.982
angles (deg): 102.78 102.87 90.00
Positions (direct):
Te1 0.999 0.746 0.997
Te2 0.331 0.914 0.662
Te3 0.667 0.582 0.335
Te4 0.669 0.086 0.338
Te5 0.333 0.418 0.665
Te6 0.001 0.254 0.003
Sm1 0.166 0.332 0.332
Sm2 0.834 0.668 0.668
Pm1 0.500 0.500 0.000
Pm2 0.164 0.833 0.329
Pm3 0.836 0.167 0.671
Pr1 0.500 0.000 0.000

Raw formation energy in eV per atom: -1.41

=====

A geometry-optimized PmPr3Sm2Te6 structure. Source: Alexandria via LeMat-Bulk, functional GGA-PBE.

a b c (Å): 4.465 9.041 10.042
angles (deg): 103.09 102.85 90.00
Positions (direct):
Pm1 0.500 0.000 0.000
Te1 0.002 0.248 0.004
Te2 0.666 0.087 0.332
Te3 0.334 0.913 0.668
Te4 0.332 0.421 0.663
Te5 0.668 0.579 0.337
Te6 0.998 0.752 0.996
Pr1 0.834 0.167 0.668
Pr2 0.166 0.833 0.332
Pr3 0.500 0.500 0.000
Sm1 0.166 0.332 0.333
Sm2 0.834 0.668 0.667

Raw formation energy in eV per atom: -1.42

=====

A geometry-optimized PmPrSmTh structure. Source: Alexandria via LeMat-Bulk, functional GGA-PBE.

a b c (Å): 5.780 5.780 5.780
angles (deg): 60.00 60.00 60.00
Positions (direct):
Pr1 0.250 0.250 0.250
Th1 0.750 0.750 0.750
Pm1 0.500 0.500 0.500
Sm1 0.000 0.000 0.000

E_form in kcal/mol of atoms: 4.14

=====

A geometry-optimized Pm5Pr2SmTh structure. Source: Alexandria via LeMat-Bulk, functional GGA-PBE.

a b c (Å): 5.765 10.686 10.648
angles (deg): 90.00 90.00 105.65
Positions (direct):
Pm1 0.276 0.552 0.316
Pm2 0.704 0.409 0.205
Pm3 0.016 0.033 0.021
Pm4 0.724 0.448 0.816
Pm5 0.389 0.777 0.025
Pm6 0.520 0.040 0.241
Pm7 0.984 0.967 0.521
Pm8 0.296 0.591 0.705
Pm9 0.480 0.960 0.741
Pm10 0.611 0.223 0.525
Th1 0.200 0.400 0.012
Th2 0.800 0.600 0.512
Pr1 0.884 0.768 0.230
Pr2 0.116 0.232 0.319
Pr3 0.116 0.232 0.730
Pr4 0.884 0.768 0.819
Sm1 0.409 0.817 0.453
Sm2 0.591 0.183 0.953

E_form in kcal/mol of atoms: 3.45

=====

A geometry-optimized PmPr2Sm5Th structure. Source: Alexandria via LeMat-Bulk, functional GGA-PBE.

a b c (Å): 5.753 10.645 10.624
angles (deg): 90.00 90.00 105.68
Positions (direct):
Sm1 0.276 0.552 0.317
Sm2 0.704 0.407 0.206
Sm3 0.296 0.593 0.706
Sm4 0.724 0.448 0.817
Sm5 0.984 0.967 0.522
Sm6 0.016 0.033 0.022
Sm7 0.521 0.041 0.240
Sm8 0.611 0.223 0.525
Sm9 0.479 0.959 0.740
Sm10 0.389 0.777 0.025
Pm1 0.590 0.180 0.951
Pm2 0.410 0.820 0.451
Pr1 0.884 0.767 0.229
Pr2 0.116 0.232 0.320
Pr3 0.116 0.233 0.729
Pr4 0.884 0.768 0.820
Th1 0.200 0.400 0.013
Th2 0.800 0.600 0.513

E_form in kcal/mol of atoms: 3.51

=====

A geometry-optimized Pm3PrSmTh structure. Source: Alexandria via LeMat-Bulk, functional GGA-PBE.

a b c (Å): 5.151 8.155 10.935
angles (deg): 116.40 90.00 90.00
Positions (direct):
Sm1 0.750 0.870 0.370
Sm2 0.250 0.130 0.630
Pm1 0.750 0.864 0.043
Pm2 0.250 0.626 0.455
Pm3 0.250 0.136 0.957
Pm4 0.750 0.374 0.545
Pm5 0.750 0.383 0.204
Pm6 0.250 0.617 0.796
Th1 0.750 0.380 0.879
Th2 0.250 0.620 0.121
Pr1 0.250 0.121 0.291
Pr2 0.750 0.879 0.709

E_form in kcal/mol of atoms: 0.71